VTc2SbF | Alexandria via LeMat-Bulk | GGA+U | relaxed; E_tot = -24.73 eV per cell
1.0
5.0306 0.0000 0.0000
0.0000 5.0306 0.0000
0.0000 0.0000 5.1652
V Tc Sb F
1 2 1 1
direct
0.0000 0.0000 0.0000
0.0000 0.5000 0.5000
0.5000 0.0000 0.5000
0.0000 0.0000 0.5000
0.5000 0.5000 0.0000